# Ge2Te2S

A relaxed structure of Ge2Te2S (PBE, Alexandria).

## Properties
excess energy over the best structure of this formula in the dataset = 0 kJ/mol of formula units
M_tot = 0.00 μB/atom
energy relative to the elements, uncorrected = -80 meV/atom

Lattice parameters (Å, degrees): 11.860 11.860 5.794 90.00 90.00 160.99
Fractional coordinates of all 10 atoms:
Ge 0.109 0.891 0.500
Ge 0.311 0.689 0.580
Ge 0.689 0.311 0.080
Ge 0.891 0.109 0.000
Te 0.297 0.703 0.091
Te 0.484 0.516 0.987
Te 0.516 0.484 0.487
Te 0.703 0.297 0.591
S 0.120 0.880 0.093
S 0.880 0.120 0.593